[1]
Entry from the Alexandria database: an optimized crystal structure of YZrTa2 (PBEsol).

Cell: 2.9003 5.7105 5.8255 Å, 116.46 99.27 100.32°
Element x y z (fractional)
Ta 0.0000 0.0000 0.5000
Ta 0.5000 0.5000 0.5000
Y 0.5000 0.0000 0.0000
Zr 0.0000 0.5000 0.0000

ΔH_f (0 K) ... 376.7 meV/atom
Energy above the lowest structure with this stoichiometry ... 72 meV/atom
SG ... No. 12


[2]
Entry from the Alexandria database: an optimized crystal structure of YZrTa2 (PBEsol).

Cell: 2.9149 4.8147 5.9618 Å, 90.00 90.00 90.00°
Element x y z (fractional)
Ta 0.0000 0.0000 0.7332
Ta 0.0000 0.0000 0.2668
Y 0.5000 0.5000 0.0000
Zr 0.5000 0.5000 0.5000

ΔH_f (0 K) ... 371.8 meV/atom
Energy above the lowest structure with this stoichiometry ... 67 meV/atom
SG ... No. 47


[3]
Entry from the Alexandria database: an optimized crystal structure of YZrTa (PBEsol).

Cell: 3.1326 4.9731 4.9731 Å, 120.00 90.00 90.00°
Element x y z (fractional)
Ta 0.5000 0.0000 0.0000
Y 0.0000 0.3333 0.6667
Zr 0.5000 0.6667 0.3333

ΔH_f (0 K) ... 234.8 meV/atom
Energy above the lowest structure with this stoichiometry ... 0 meV/atom
SG ... No. 187


[4]
Entry from the Alexandria database: an optimized crystal structure of YZr2Ta (PBEsol).

Cell: 3.0369 3.0369 9.7605 Å, 90.00 90.00 90.00°
Element x y z (fractional)
Ta 0.0000 0.0000 0.4875
Y 0.5000 0.5000 0.7268
Zr 0.0000 0.0000 0.0241
Zr 0.5000 0.5000 0.2617

ΔH_f (0 K) ... 238.7 meV/atom
Energy above the lowest structure with this stoichiometry ... 40 meV/atom
SG ... No. 99